The following is a DFT calculation (GGA+U) of a relaxed Pr2GaFeO6 crystal.

POSCAR file:
```
Pr2GaFeO6
1.0
5.477 0.000 0.000
0.000 5.581 0.000
-5.342 0.000 7.935
Pr Ga Fe O
4 2 2 12
Direct
0.236 0.047 0.248 Pr
0.236 0.453 0.748 Pr
0.764 0.547 0.252 Pr
0.764 0.953 0.752 Pr
0.500 0.000 0.000 Ga
0.500 0.500 0.500 Ga
0.000 0.000 0.500 Fe
0.000 0.500 0.000 Fe
0.164 0.213 0.955 O
0.164 0.287 0.455 O
0.239 0.707 0.954 O
0.239 0.793 0.454 O
0.341 0.018 0.759 O
0.341 0.482 0.259 O
0.659 0.518 0.741 O
0.659 0.982 0.241 O
0.761 0.207 0.546 O
0.761 0.293 0.046 O
0.836 0.713 0.545 O
0.836 0.787 0.045 O
```

Size of the total moment in μB/atom: 0.297
Crystal system: monoclinic
Space group: P2_1/c
E in eV per atom: -7.2422